[1]
## SmY2MgO (GGA-PBE)

Data for a relaxed structure of SmY2MgO.

Cell and atoms, written as CIF:
```
data_SmY2MgO
_chemical_formula_sum 'Sm1 Y2 Mg1 O1'
_cell_length_a 4.967
_cell_length_b 4.842
_cell_length_c 4.842
_cell_angle_alpha 90.00
_cell_angle_beta 90.00
_cell_angle_gamma 90.00
_space_group_name_H-M_alt 'P 1'
_space_group_IT_number 1
loop_
_space_group_symop_operation_xyz
'x,y,z'
loop_
_atom_site_label
_atom_site_type_symbol
_atom_site_fract_x
_atom_site_fract_y
_atom_site_fract_z
_atom_site_occupancy
Sm1 Sm 0.500 0.000 0.000 1
Y1 Y 0.000 0.500 0.000 1
Mg1 Mg 0.500 0.500 0.500 1
O1 O 0.000 0.000 0.000 1
Y2 Y 0.000 0.000 0.500 1
```

Its formation energy from raw total energies is -1.20 eV per atom. As for the symmetry: No. 123. The calculated total energy is -6.037 eV/atom.


[2]
## Pt2ICl (GGA-PBE)

Data for a relaxed structure of Pt2ICl.

Cell and atoms, written as CIF:
```
data_Pt2ICl
_chemical_formula_sum 'Pt4 I2 Cl2'
_cell_length_a 6.307
_cell_length_b 6.307
_cell_length_c 6.850
_cell_angle_alpha 62.59
_cell_angle_beta 62.59
_cell_angle_gamma 90.00
_space_group_name_H-M_alt 'P 1'
_space_group_IT_number 1
loop_
_space_group_symop_operation_xyz
'x,y,z'
loop_
_atom_site_label
_atom_site_type_symbol
_atom_site_fract_x
_atom_site_fract_y
_atom_site_fract_z
_atom_site_occupancy
Pt1 Pt 0.875 0.877 0.750 1
Cl1 Cl 0.500 0.500 0.000 1
I1 I 0.000 0.000 0.000 1
Pt2 Pt 0.375 0.373 0.750 1
I2 I 0.750 0.250 0.500 1
Cl2 Cl 0.250 0.750 0.500 1
Pt3 Pt 0.627 0.125 0.250 1
Pt4 Pt 0.123 0.625 0.250 1
```

As for the energy above the most stable polymorph in this dataset: 0.0 meV per atom. Its formation energy from raw total energies is 0.51 eV per atom. As for the symmetry: No. 122. The calculated total energy is -3.357 eV/atom.


[3]
## La2TbAs3 (GGA-PBE)

Data for a relaxed structure of La2TbAs3.

Cell and atoms, written as CIF:
```
data_La2TbAs3
_chemical_formula_sum 'La2 Tb1 As3'
_cell_length_a 4.307
_cell_length_b 4.307
_cell_length_c 9.607
_cell_angle_alpha 102.96
_cell_angle_beta 102.95
_cell_angle_gamma 89.98
_space_group_name_H-M_alt 'P 1'
_space_group_IT_number 1
loop_
_space_group_symop_operation_xyz
'x,y,z'
loop_
_atom_site_label
_atom_site_type_symbol
_atom_site_fract_x
_atom_site_fract_y
_atom_site_fract_z
_atom_site_occupancy
As1 As 0.934 0.936 0.874 1
Tb1 Tb 0.434 0.436 0.874 1
As2 As 0.271 0.273 0.548 1
La1 La 0.100 0.101 0.205 1
La2 La 0.769 0.770 0.543 1
As3 As 0.597 0.599 0.200 1
```

As for the symmetry: No. 139. The calculated total energy is -6.278 eV/atom. As for the formation enthalpy at 0 K: -35.50 kcal/mol of atoms.